1.
Density functional theory data (GGA-PBE) for RbLaGaP2 after structural relaxation.

DOS at the Fermi energy	1.2337	states/eV per atom
relative energy among the computed polymorphs	0.000	eV/atom
energy relative to the elements	143	meV per atom
crystal system	tetragonal
energy	-19.03	eV for the cell shown

Geometry as extended XYZ:
```
5
Lattice="5.630 0.000 0.000 0.000 5.630 0.000 0.000 0.000 5.976" Properties=species:S:1:pos:R:3 pbc="T T T"
Rb 0.000 0.000 0.000
La 2.815 2.815 2.988
Ga 2.815 2.815 0.000
P 0.000 2.815 2.988
P 2.815 0.000 2.988
```


2.
Density functional theory data (GGA-PBE) for ScGaAu after structural relaxation.

DOS at the Fermi energy	0.6953	states/eV per atom
energy relative to the elements	-543	meV per atom
crystal system	tetragonal
energy	-14.27	eV for the cell shown

Geometry as extended XYZ:
```
3
Lattice="-1.629 1.629 5.252 1.629 -1.629 5.252 1.629 1.629 -5.252" Properties=species:S:1:pos:R:3 pbc="T T T"
Sc 0.000 0.000 0.000
Ga 0.000 0.000 3.415
Au 0.000 0.000 7.063
```


3.
Density functional theory data (GGA-PBE) for Te2MoRu after structural relaxation.

DOS at the Fermi energy	0.7667	states/eV per atom
relative energy among the computed polymorphs	0.304	eV/atom
crystal system	trigonal
energy	-25.02	eV for the cell shown
formation energy from raw total energies	342	meV per atom

Geometry as extended XYZ:
```
4
Lattice="1.642 0.948 8.156 -1.642 0.948 8.156 0.000 -1.896 8.156" Properties=species:S:1:pos:R:3 pbc="T T T"
Te 0.000 0.000 6.124
Te 0.000 0.000 18.345
Mo 0.000 0.000 12.235
Ru 0.000 0.000 0.000
```


4.
Density functional theory data (GGA-PBE) for Th4BTe2As after structural relaxation.

DOS at the Fermi energy	0.3939	states/eV per atom
crystal system	monoclinic
energy	-55.31	eV for the cell shown
formation energy from raw total energies	-1002	meV per atom

Geometry as extended XYZ:
```
8
Lattice="7.362 0.000 0.000 0.000 4.177 0.000 -2.392 0.000 7.365" Properties=species:S:1:pos:R:3 pbc="T T T"
Th 1.090 0.000 1.451
Th -0.128 2.089 5.848
Th 5.098 2.089 1.517
Th 3.880 0.000 5.914
B 0.000 2.089 0.000
Te -1.196 0.000 3.682
Te 2.485 2.089 3.682
As 3.681 0.000 0.000
```


5.
Density functional theory data (GGA-PBE) for GaCoTe2 after structural relaxation.

DOS at the Fermi energy	0.7681	states/eV per atom
crystal system	trigonal
energy	-16.37	eV for the cell shown
formation energy from raw total energies	11	meV per atom

Geometry as extended XYZ:
```
4
Lattice="1.852 1.069 8.905 -1.852 1.069 8.905 0.000 -2.138 8.905" Properties=species:S:1:pos:R:3 pbc="T T T"
Ga 0.000 0.000 0.000
Co 0.000 0.000 13.357
Te 0.000 0.000 3.094
Te 0.000 0.000 23.619
```


6.
Density functional theory data (GGA-PBE) for HoMnHgAu after structural relaxation.

DOS at the Fermi energy	0.8204	states/eV per atom
energy relative to the elements	-282	meV per atom
crystal system	cubic
energy	-18.45	eV for the cell shown

Geometry as extended XYZ:
```
4
Lattice="0.000 3.472 3.472 3.472 0.000 3.472 3.472 3.472 0.000" Properties=species:S:1:pos:R:3 pbc="T T T"
Ho 0.000 0.000 0.000
Mn 3.472 3.472 3.472
Hg 1.736 1.736 1.736
Au 5.208 5.208 5.208
```